Record 1
PbI2N | PBE | relaxed

Summary:
- formation energy from raw total energies (meV/atom) = 874.8
- crystal system = tetragonal
- ΔE to the lowest computed polymorph (eV/f.u.) = 1.759

CIF file:
```
data_PbI2N
_chemical_formula_sum 'Pb2 I4 N2'
_symmetry_space_group_name_H-M 'P 1'
_symmetry_Int_Tables_number 1
_cell_length_a 7.064
_cell_length_b 7.064
_cell_length_c 7.301
_cell_angle_alpha 61.07
_cell_angle_beta 61.07
_cell_angle_gamma 90.00
loop_
_symmetry_equiv_pos_as_xyz
'x,y,z'
loop_
_atom_site_label
_atom_site_type_symbol
_atom_site_fract_x
_atom_site_fract_y
_atom_site_fract_z
Pb1 Pb 0.000 0.000 0.000
Pb2 Pb 0.750 0.250 0.500
I1 I 0.374 0.125 0.250
I2 I 0.376 0.625 0.250
I3 I 0.375 0.626 0.750
I4 I 0.875 0.624 0.750
N1 N 0.500 0.500 0.000
N2 N 0.250 0.750 0.500
```

Record 2
AcNdY6Ho2 | PBE | relaxed

Summary:
- DFT formation energy (meV per atom) = 128
- crystal system = monoclinic

CIF file:
```
data_AcNdY6Ho2
_chemical_formula_sum 'Ac2 Nd2 Y12 Ho4'
_symmetry_space_group_name_H-M 'P 1'
_symmetry_Int_Tables_number 1
_cell_length_a 9.619
_cell_length_b 8.955
_cell_length_c 8.955
_cell_angle_alpha 117.33
_cell_angle_beta 92.83
_cell_angle_gamma 92.83
loop_
_symmetry_equiv_pos_as_xyz
'x,y,z'
loop_
_atom_site_label
_atom_site_type_symbol
_atom_site_fract_x
_atom_site_fract_y
_atom_site_fract_z
Ac1 Ac 0.250 0.968 0.032
Ac2 Ac 0.750 0.032 0.968
Nd1 Nd 0.250 0.411 0.589
Nd2 Nd 0.750 0.589 0.411
Y1 Y 0.058 0.123 0.752
Y2 Y 0.442 0.248 0.877
Y3 Y 0.942 0.877 0.248
Y4 Y 0.558 0.752 0.123
Y5 Y 0.321 0.984 0.444
Y6 Y 0.179 0.556 0.016
Y7 Y 0.679 0.016 0.556
Y8 Y 0.821 0.444 0.984
Y9 Y 0.114 0.709 0.487
Y10 Y 0.386 0.513 0.291
Y11 Y 0.886 0.291 0.513
Y12 Y 0.614 0.487 0.709
Ho1 Ho 0.449 0.802 0.691
Ho2 Ho 0.051 0.309 0.198
Ho3 Ho 0.551 0.198 0.309
Ho4 Ho 0.949 0.691 0.802
```

Record 3
CaSc3N | PBE | relaxed

Summary:
- formation energy from raw total energies (meV/atom) = -449.6
- crystal system = cubic
- ΔE to the lowest computed polymorph (eV/f.u.) = 0.000

CIF file:
```
data_CaSc3N
_chemical_formula_sum 'Ca1 Sc3 N1'
_symmetry_space_group_name_H-M 'P 1'
_symmetry_Int_Tables_number 1
_cell_length_a 4.682
_cell_length_b 4.682
_cell_length_c 4.682
_cell_angle_alpha 90.00
_cell_angle_beta 90.00
_cell_angle_gamma 90.00
loop_
_symmetry_equiv_pos_as_xyz
'x,y,z'
loop_
_atom_site_label
_atom_site_type_symbol
_atom_site_fract_x
_atom_site_fract_y
_atom_site_fract_z
Sc1 Sc 0.000 0.500 0.000
Sc2 Sc 0.000 0.000 0.500
Sc3 Sc 0.500 0.000 0.000
Ca1 Ca 0.500 0.500 0.500
N1 N 0.000 0.000 0.000
```

Record 4
SmPRuO | PBE | relaxed

Summary:
- formation energy from raw total energies (meV/atom) = -2017.3
- crystal system = tetragonal

CIF file:
```
data_SmPRuO
_chemical_formula_sum 'Sm2 P2 Ru2 O2'
_symmetry_space_group_name_H-M 'P 1'
_symmetry_Int_Tables_number 1
_cell_length_a 4.031
_cell_length_b 4.031
_cell_length_c 8.136
_cell_angle_alpha 90.00
_cell_angle_beta 90.00
_cell_angle_gamma 90.00
loop_
_symmetry_equiv_pos_as_xyz
'x,y,z'
loop_
_atom_site_label
_atom_site_type_symbol
_atom_site_fract_x
_atom_site_fract_y
_atom_site_fract_z
Sm1 Sm 0.500 0.000 0.640
Sm2 Sm 0.000 0.500 0.360
P1 P 0.000 0.500 0.856
P2 P 0.500 0.000 0.144
Ru1 Ru 0.500 0.500 0.000
Ru2 Ru 0.000 0.000 0.000
O1 O 0.000 0.000 0.500
O2 O 0.500 0.500 0.500
```

Record 5
KZrFe | PBE | relaxed

Summary:
- DFT formation energy (meV per atom) = 1179
- crystal system = trigonal
- ΔE to the lowest computed polymorph (eV/f.u.) = 1.735

CIF file:
```
data_KZrFe
_chemical_formula_sum 'K1 Zr1 Fe1'
_symmetry_space_group_name_H-M 'P 1'
_symmetry_Int_Tables_number 1
_cell_length_a 5.346
_cell_length_b 5.346
_cell_length_c 2.734
_cell_angle_alpha 90.00
_cell_angle_beta 90.00
_cell_angle_gamma 120.00
loop_
_symmetry_equiv_pos_as_xyz
'x,y,z'
loop_
_atom_site_label
_atom_site_type_symbol
_atom_site_fract_x
_atom_site_fract_y
_atom_site_fract_z
Fe1 Fe 0.000 0.000 0.998
K1 K 0.667 0.333 0.507
Zr1 Zr 0.333 0.667 0.495
```

Record 6
CoSn6Au2 | PBE | relaxed

Summary:
- DFT formation energy (meV per atom) = -55
- crystal system = monoclinic

CIF file:
```
data_CoSn6Au2
_chemical_formula_sum 'Co2 Sn12 Au4'
_symmetry_space_group_name_H-M 'P 1'
_symmetry_Int_Tables_number 1
_cell_length_a 7.150
_cell_length_b 6.714
_cell_length_c 8.700
_cell_angle_alpha 90.00
_cell_angle_beta 88.74
_cell_angle_gamma 90.00
loop_
_symmetry_equiv_pos_as_xyz
'x,y,z'
loop_
_atom_site_label
_atom_site_type_symbol
_atom_site_fract_x
_atom_site_fract_y
_atom_site_fract_z
Co1 Co 0.500 0.500 0.000
Co2 Co 0.000 0.000 0.500
Sn1 Sn 0.900 0.049 0.219
Sn2 Sn 0.833 0.670 0.567
Sn3 Sn 0.825 0.658 0.951
Sn4 Sn 0.675 0.158 0.549
Sn5 Sn 0.667 0.170 0.933
Sn6 Sn 0.600 0.549 0.281
Sn7 Sn 0.100 0.951 0.781
Sn8 Sn 0.167 0.330 0.433
Sn9 Sn 0.175 0.342 0.049
Sn10 Sn 0.325 0.842 0.451
Sn11 Sn 0.333 0.830 0.067
Sn12 Sn 0.400 0.451 0.719
Au1 Au 0.992 0.350 0.748
Au2 Au 0.508 0.850 0.752
Au3 Au 0.492 0.150 0.248
Au4 Au 0.008 0.650 0.252
```

Record 7
Ac3Mg2Pt3 | PBE | relaxed

Summary:
- DFT formation energy (meV per atom) = -871
- crystal system = hexagonal

CIF file:
```
data_Ac3Mg2Pt3
_chemical_formula_sum 'Ac6 Mg4 Pt6'
_symmetry_space_group_name_H-M 'P 1'
_symmetry_Int_Tables_number 1
_cell_length_a 6.144
_cell_length_b 8.921
_cell_length_c 8.921
_cell_angle_alpha 120.00
_cell_angle_beta 90.00
_cell_angle_gamma 90.00
loop_
_symmetry_equiv_pos_as_xyz
'x,y,z'
loop_
_atom_site_label
_atom_site_type_symbol
_atom_site_fract_x
_atom_site_fract_y
_atom_site_fract_z
Ac1 Ac 0.750 0.277 0.000
Ac2 Ac 0.750 0.723 0.723
Ac3 Ac 0.750 0.000 0.277
Ac4 Ac 0.250 0.723 0.000
Ac5 Ac 0.250 0.277 0.277
Ac6 Ac 0.250 0.000 0.723
Mg1 Mg 0.000 0.333 0.667
Mg2 Mg 0.500 0.667 0.333
Mg3 Mg 0.000 0.667 0.333
Mg4 Mg 0.500 0.333 0.667
Pt1 Pt 0.750 0.609 0.000
Pt2 Pt 0.750 0.391 0.391
Pt3 Pt 0.750 0.000 0.609
Pt4 Pt 0.250 0.391 0.000
Pt5 Pt 0.250 0.609 0.609
Pt6 Pt 0.250 0.000 0.391
```

Record 8
La6Mn9Al5 | PBE | relaxed

Summary:
- DFT formation energy (meV per atom) = -187
- crystal system = tetragonal

CIF file:
```
data_La6Mn9Al5
_chemical_formula_sum 'La12 Mn18 Al10'
_symmetry_space_group_name_H-M 'P 1'
_symmetry_Int_Tables_number 1
_cell_length_a 8.352
_cell_length_b 8.352
_cell_length_c 13.294
_cell_angle_alpha 108.31
_cell_angle_beta 108.31
_cell_angle_gamma 90.00
loop_
_symmetry_equiv_pos_as_xyz
'x,y,z'
loop_
_atom_site_label
_atom_site_type_symbol
_atom_site_fract_x
_atom_site_fract_y
_atom_site_fract_z
La1 La 0.363 0.863 0.379
La2 La 0.637 0.137 0.621
La3 La 0.017 0.517 0.379
La4 La 0.517 0.363 0.379
La5 La 0.137 0.983 0.621
La6 La 0.983 0.483 0.621
La7 La 0.483 0.637 0.621
La8 La 0.863 0.017 0.379
La9 La 0.105 0.105 0.210
La10 La 0.895 0.895 0.790
La11 La 0.395 0.395 0.790
La12 La 0.605 0.605 0.210
Mn1 Mn 0.073 0.217 0.000
Mn2 Mn 0.927 0.783 0.000
Mn3 Mn 0.783 0.073 0.000
Mn4 Mn 0.427 0.717 0.000
Mn5 Mn 0.217 0.927 0.000
Mn6 Mn 0.573 0.283 0.000
Mn7 Mn 0.717 0.573 0.000
Mn8 Mn 0.283 0.427 0.000
Mn9 Mn 0.230 0.730 0.108
Mn10 Mn 0.770 0.270 0.892
Mn11 Mn 0.878 0.378 0.108
Mn12 Mn 0.378 0.230 0.108
Mn13 Mn 0.270 0.122 0.892
Mn14 Mn 0.122 0.622 0.892
Mn15 Mn 0.622 0.770 0.892
Mn16 Mn 0.730 0.878 0.108
Mn17 Mn 0.000 0.500 0.000
Mn18 Mn 0.500 0.000 0.000
Al1 Al 0.711 0.211 0.188
Al2 Al 0.289 0.789 0.812
Al3 Al 0.477 0.977 0.188
Al4 Al 0.977 0.711 0.188
Al5 Al 0.789 0.523 0.812
Al6 Al 0.523 0.023 0.812
Al7 Al 0.023 0.289 0.812
Al8 Al 0.211 0.477 0.188
Al9 Al 0.250 0.250 0.500
Al10 Al 0.750 0.750 0.500
```